No. 1
The following is a DFT calculation (PBE) of a relaxed structure of MnV2Ge.

* VASP energy: -8.13 eV/atom
* formation enthalpy at 0 K: -2.77 kcal/mol of atoms

Cell lengths 3.1458, 3.1458, 5.3058 Å; angles 90.00, 90.00, 90.00 degrees
With the nearest neighbours (Å) after each atom.
Fractional positions:
Ge: 0.5000 0.5000 0.5000  8 V 2.61, 2 Mn 2.65
Mn: 0.5000 0.5000 0.0000  8 V 2.57, 2 Ge 2.65
V: 0.0000 0.0000 0.7571  4 Mn 2.57, 2 V 2.58-2.73, 4 Ge 2.61
V: 0.0000 0.0000 0.2429  4 Mn 2.57, 2 V 2.58-2.73, 4 Ge 2.61

---

No. 2
The following is a DFT calculation (PBE) of a relaxed structure of La2HoZn.

* VASP energy: -4.08 eV/atom
* formation enthalpy at 0 K: -3.59 kcal/mol of atoms
* ΔE to the lowest computed polymorph: 0.000 kcal/mol of atoms

Cell lengths 5.2122, 5.2122, 9.5163 Å; angles 105.89, 105.89, 90.00 degrees
With the nearest neighbours (Å) after each atom.
Fractional positions:
La: 0.0000 0.5000 0.0000  8 La 3.62-3.69, 4 Ho 3.73
La: 0.5000 0.0000 0.0000  8 La 3.62-3.69, 4 Ho 3.73
La: 0.3565 0.3565 0.7130  4 Zn 3.21, 1 Ho 3.59
La: 0.6435 0.6435 0.2870  4 Zn 3.21, 1 Ho 3.59
Ho: 0.1518 0.1518 0.3037  4 Zn 3.12
Ho: 0.8482 0.8482 0.6963  4 Zn 3.12
Zn: 0.2500 0.7500 0.5000  4 Ho 3.12, 4 La 3.21
Zn: 0.7500 0.2500 0.5000  4 Ho 3.12, 4 La 3.21

---

No. 3
The following is a DFT calculation (PBE) of a relaxed structure of BaLiAgSn.

* VASP energy: -3.02 eV/atom
* formation enthalpy at 0 K: -7.91 kcal/mol of atoms

Cell lengths 5.2831, 5.2831, 5.2831 Å; angles 60.00, 60.00, 60.00 degrees
With the nearest neighbours (Å) after each atom.
Fractional positions:
Li: 0.0000 0.0000 0.0000  4 Ba 3.24, 4 Sn 3.24
Ba: 0.7500 0.7500 0.7500  4 Li 3.24, 4 Ag 3.24
Ag: 0.5000 0.5000 0.5000  4 Sn 3.24, 4 Ba 3.24
Sn: 0.2500 0.2500 0.2500  4 Li 3.24, 4 Ag 3.24

---

No. 4
The following is a DFT calculation (PBE) of a relaxed structure of Sc2TaOs3.

* VASP energy: -10.19 eV/atom
* formation enthalpy at 0 K: -11.27 kcal/mol of atoms

Cell lengths 3.1935, 4.5507, 7.1594 Å; angles 108.53, 90.00, 90.00 degrees
With the nearest neighbours (Å) after each atom.
Fractional positions:
Sc: 0.0000 0.3316 0.6631  8 Os 2.78-2.83
Sc: 0.0000 0.6684 0.3369  8 Os 2.78-2.83
Ta: 0.0000 0.0000 0.0000  8 Os 2.69-2.78
Os: 0.5000 0.5000 0.0000  4 Ta 2.78, 4 Sc 2.79
Os: 0.5000 0.8401 0.6803  2 Ta 2.69, 6 Sc 2.78-2.83
Os: 0.5000 0.1599 0.3197  2 Ta 2.69, 6 Sc 2.78-2.83

---

No. 5
The following is a DFT calculation (PBE) of a relaxed structure of ZrZnCo2.

* VASP energy: -6.07 eV/atom
* formation enthalpy at 0 K: -1.36 kcal/mol of atoms

Cell lengths 2.9829, 2.9829, 6.5637 Å; angles 90.00, 90.00, 90.00 degrees
With the nearest neighbours (Å) after each atom.
Fractional positions:
Co: 0.0000 0.0000 0.0517  4 Co 2.40, 1 Zn 2.62
Co: 0.5000 0.5000 0.2271  4 Co 2.40, 4 Zn 2.57
Zn: 0.0000 0.0000 0.4515  5 Co 2.57-2.62
Zr: 0.5000 0.5000 0.7697  5 Co 2.81-3.00, 4 Zn 2.97, 4 Zr 2.98

---

No. 6
The following is a DFT calculation (PBE) of a relaxed structure of NaIn3Ga3.

* VASP energy: -2.66 eV/atom
* formation enthalpy at 0 K: -0.12 kcal/mol of atoms
* ΔE to the lowest computed polymorph: 0.000 kcal/mol of atoms

Cell lengths 5.1140, 8.6070, 8.6070 Å; angles 120.00, 90.00, 90.00 degrees
With the nearest neighbours (Å) after each atom.
Fractional positions:
Na: 0.2500 0.6667 0.3333  9 In 3.23-3.26, 3 Ga 3.42
Na: 0.7500 0.3333 0.6667  9 In 3.23-3.26, 3 Ga 3.42
In: 0.7500 0.6369 0.5456  4 Ga 3.08-3.19, 3 Na 3.23-3.26, 4 In 3.29-3.41
In: 0.7500 0.9087 0.3631  4 Ga 3.08-3.19, 3 Na 3.23-3.26, 4 In 3.29-3.41
In: 0.2500 0.5456 0.9087  4 Ga 3.08-3.19, 3 Na 3.23-3.26, 4 In 3.29-3.41
In: 0.7500 0.4544 0.0913  4 Ga 3.08-3.19, 3 Na 3.23-3.26, 4 In 3.29-3.41
In: 0.2500 0.0913 0.6369  4 Ga 3.08-3.19, 3 Na 3.23-3.26, 4 In 3.29-3.41
In: 0.2500 0.3631 0.4544  4 Ga 3.08-3.19, 3 Na 3.23-3.26, 4 In 3.29-3.41
Ga: 0.7500 0.0456 0.8316  6 Ga 2.91-3.06, 4 In 3.08-3.19
Ga: 0.7500 0.7861 0.9544  6 Ga 2.91-3.06, 4 In 3.08-3.19
Ga: 0.2500 0.8316 0.7861  6 Ga 2.91-3.06, 4 In 3.08-3.19
Ga: 0.7500 0.1684 0.2139  6 Ga 2.91-3.06, 4 In 3.08-3.19
Ga: 0.2500 0.2139 0.0456  6 Ga 2.91-3.06, 4 In 3.08-3.19
Ga: 0.2500 0.9544 0.1684  6 Ga 2.91-3.06, 4 In 3.08-3.19

---

No. 7
The following is a DFT calculation (PBE) of a relaxed structure of SrHfAsSe2.

* VASP energy: -5.74 eV/atom
* ΔE to the lowest computed polymorph: 0.000 kcal/mol of atoms

Cell lengths 5.2063, 5.2063, 5.2022 Å; angles 90.00, 90.00, 90.00 degrees
With the nearest neighbours (Å) after each atom.
Fractional positions:
Sr: 0.5000 0.5000 0.5000  8 Se 3.68, 4 As 3.68
As: 0.0000 0.0000 0.5000  2 Hf 2.60
Hf: 0.0000 0.0000 0.0000  2 As 2.60, 4 Se 2.60
Se: 0.0000 0.5000 0.0000  2 Hf 2.60
Se: 0.5000 0.0000 0.0000  2 Hf 2.60

---

No. 8
The following is a DFT calculation (PBE) of a relaxed structure of HgTeRh2.

* VASP energy: -4.51 eV/atom
* ΔE to the lowest computed polymorph: 0.092 kcal/mol of atoms

Cell lengths 3.2739, 3.2751, 6.7215 Å; angles 90.00, 90.00, 90.00 degrees
With the nearest neighbours (Å) after each atom.
Fractional positions:
Hg: 0.5000 0.5000 0.5000  8 Rh 2.93, 4 Hg 3.27-3.28
Te: 0.5000 0.5000 0.0000  8 Rh 2.80
Rh: 0.0000 0.0000 0.7670  4 Te 2.80, 4 Hg 2.93
Rh: 0.0000 0.0000 0.2330  4 Te 2.80, 4 Hg 2.93

---

No. 9
The following is a DFT calculation (PBE) of a relaxed structure of AgHIN2.

* VASP energy: -2.63 eV/atom
* ΔE to the lowest computed polymorph: 4.203 kcal/mol of atoms

Cell lengths 4.3337, 4.3337, 3.7585 Å; angles 90.00, 90.00, 90.00 degrees
With the nearest neighbours (Å) after each atom.
Fractional positions:
I: 0.0000 0.0000 0.5000  2 H 1.88
H: 0.0000 0.0000 0.0000  2 I 1.88
Ag: 0.5000 0.5000 0.5000  8 N 2.87, 4 I 3.06
N: 0.0000 0.5000 0.0000  2 H 2.17
N: 0.5000 0.0000 0.0000  2 H 2.17

---

No. 10
The following is a DFT calculation (PBE) of a relaxed structure of TcNi2S.

* VASP energy: -6.39 eV/atom

Cell lengths 6.5985, 6.5985, 5.2276 Å; angles 50.87, 50.87, 90.00 degrees
With the nearest neighbours (Å) after each atom.
Fractional positions:
Ni: 0.5797 0.1250 0.2500  2 S 2.21, 2 Ni 2.43
Ni: 0.1703 0.6250 0.2500  2 S 2.21, 2 Ni 2.43
Ni: 0.3750 0.4203 0.7500  2 S 2.21, 2 Ni 2.43
Ni: 0.8750 0.8297 0.7500  2 S 2.21, 2 Ni 2.43
S: 0.5000 0.5000 0.0000  4 Ni 2.21, 2 Tc 2.36
S: 0.2500 0.7500 0.5000  4 Ni 2.21, 2 Tc 2.36
Tc: 0.0000 0.0000 0.0000  2 S 2.36, 4 Ni 2.62
Tc: 0.7500 0.2500 0.5000  2 S 2.36, 4 Ni 2.62

---

No. 11
The following is a DFT calculation (PBE) of a relaxed structure of Mg3Se4.

* VASP energy: -3.41 eV/atom
* ΔE to the lowest computed polymorph: 2.221 kcal/mol of atoms

Cell lengths 6.0075, 6.0075, 6.0075 Å; angles 90.00, 90.00, 90.00 degrees
With the nearest neighbours (Å) after each atom.
Fractional positions:
Mg: 0.5000 0.0000 0.5000  4 Se 2.58
Mg: 0.5000 0.5000 0.0000  4 Se 2.58
Mg: 0.0000 0.5000 0.5000  4 Se 2.58
Se: 0.2573 0.7427 0.2573  3 Mg 2.58
Se: 0.7427 0.2573 0.2573  3 Mg 2.58
Se: 0.7427 0.7427 0.7427  3 Mg 2.58
Se: 0.2573 0.2573 0.7427  3 Mg 2.58

---

No. 12
The following is a DFT calculation (PBE) of a relaxed structure of Zn2AgMo.

* VASP energy: -3.68 eV/atom
* formation enthalpy at 0 K: 8.69 kcal/mol of atoms
* ΔE to the lowest computed polymorph: 7.542 kcal/mol of atoms

Cell lengths 4.9677, 4.9677, 4.9677 Å; angles 133.74, 133.74, 67.49 degrees
With the nearest neighbours (Å) after each atom.
Fractional positions:
Ag: 0.5000 0.5000 0.0000  8 Zn 2.76-2.84, 4 Mo 2.84
Mo: 0.7500 0.2500 0.5000  8 Zn 2.76-2.84, 4 Ag 2.84
Zn: 0.0000 0.0000 0.0000  4 Ag 2.76, 4 Zn 2.84, 4 Mo 2.84
Zn: 0.2500 0.7500 0.5000  4 Mo 2.76, 4 Zn 2.84, 4 Ag 2.84

---

No. 13
The following is a DFT calculation (PBE) of a relaxed structure of AgRh.

* VASP energy: -4.83 eV/atom
* formation enthalpy at 0 K: 6.29 kcal/mol of atoms

Cell lengths 2.7774, 2.7774, 4.7720 Å; angles 90.00, 90.00, 120.00 degrees
With the nearest neighbours (Å) after each atom.
Fractional positions:
Rh: 0.0000 0.0000 0.0000  6 Rh 2.78, 6 Ag 2.87
Ag: 0.3333 0.6667 0.5000  6 Ag 2.78, 6 Rh 2.87